The following is a DFT calculation (GGA-PBE) of a geometry-optimized K2CeSnSe4 structure.

Values from the calculation:
- uncorrected formation energy (eV/atom) = -1.262
- energy (eV/atom) = -4.521

The structure in extended XYZ format:
```
8
Lattice="7.584 0.000 0.000 0.000 4.341 0.000 -2.429 0.000 7.575" Properties=species:S:1:pos:R:3 pbc="T T T"
K 0.000 0.000 0.000
K 3.792 2.170 0.000
Ce -1.215 2.170 3.788
Sn 2.577 0.000 3.788
Se 0.000 0.000 5.336
Se 1.171 2.170 2.230
Se 3.983 2.170 5.345
Se 5.154 0.000 2.239
```

The following is a DFT calculation (GGA-PBE) of a geometry-optimized K2SrCeSe4 structure.

Values from the calculation:
- uncorrected formation energy (eV/atom) = -1.653
- energy (eV/atom) = -4.622

The structure in extended XYZ format:
```
8
Lattice="7.640 0.000 0.000 0.000 4.418 0.000 -2.528 0.000 7.638" Properties=species:S:1:pos:R:3 pbc="T T T"
K 0.000 0.000 0.000
K 3.820 2.209 0.000
Sr -1.264 2.209 3.819
Ce 2.556 0.000 3.819
Se 0.204 0.000 5.428
Se 1.422 2.209 2.244
Se 3.690 2.209 5.394
Se 4.908 0.000 2.210
```

The following is a DFT calculation (GGA-PBE) of a geometry-optimized KSr2CeSe4 structure.

Values from the calculation:
- uncorrected formation energy (eV/atom) = -1.819
- energy (eV/atom) = -4.861

The structure in extended XYZ format:
```
8
Lattice="7.613 0.000 0.000 0.000 4.448 0.000 -2.473 0.000 7.335" Properties=species:S:1:pos:R:3 pbc="T T T"
K 0.000 0.000 0.000
Sr 2.570 0.000 3.667
Sr 3.806 2.224 0.000
Ce -1.237 2.224 3.667
Se 0.027 0.000 5.389
Se 1.239 2.224 1.995
Se 3.900 2.224 5.340
Se 5.113 0.000 1.946
```

The following is a DFT calculation (GGA-PBE) of a geometry-optimized K3Tb3CeSe8 structure.

Values from the calculation:
- uncorrected formation energy (eV/atom) = -1.738
- energy (eV/atom) = -5.137

The structure in extended XYZ format:
```
15
Lattice="4.208 2.430 7.800 -4.208 2.430 7.800 0.000 -4.860 7.800" Properties=species:S:1:pos:R:3 pbc="T T T"
K -2.104 -1.215 7.800
K -2.104 1.215 15.599
K 0.000 2.430 7.800
Tb -4.208 0.000 11.699
Tb -2.104 1.215 3.900
Tb 2.104 1.215 3.900
Ce 0.000 0.000 11.699
Se 0.000 0.000 5.498
Se -2.095 -1.210 13.267
Se 0.000 -2.419 10.132
Se -2.095 1.210 10.132
Se 2.095 -1.210 13.267
Se 0.000 2.419 13.267
Se 2.095 1.210 10.132
Se 0.000 0.000 17.901
```

The following is a DFT calculation (GGA-PBE) of a geometry-optimized K3TbCe3Se8 structure.

Values from the calculation:
- uncorrected formation energy (eV/atom) = -1.717
- energy (eV/atom) = -5.291

The structure in extended XYZ format:
```
15
Lattice="4.297 2.481 7.755 -4.297 2.481 7.755 0.000 -4.962 7.755" Properties=species:S:1:pos:R:3 pbc="T T T"
K -2.149 -1.240 7.755
K -2.149 1.240 15.509
K 0.000 2.481 7.755
Tb 0.000 0.000 11.632
Ce -4.297 0.000 11.632
Ce -2.149 1.240 3.877
Ce 2.149 1.240 3.877
Se 0.000 0.000 5.492
Se -2.127 -1.228 13.192
Se 0.000 -2.456 10.072
Se -2.127 1.228 10.072
Se 2.127 -1.228 13.192
Se 0.000 2.456 13.192
Se 2.127 1.228 10.072
Se 0.000 0.000 17.772
```

The following is a DFT calculation (GGA-PBE) of a geometry-optimized K3Tb2CeSe6 structure.

Values from the calculation:
- uncorrected formation energy (eV/atom) = -1.738
- energy (eV/atom) = -5.021

The structure in extended XYZ format:
```
12
Lattice="3.710 -6.427 0.000 3.710 6.427 0.000 -2.475 0.000 7.682" Properties=species:S:1:pos:R:3 pbc="T T T"
K 0.000 0.000 0.000
K 3.710 2.131 0.000
K 3.710 -2.131 0.000
Tb 2.473 4.283 3.841
Tb 2.473 -4.283 3.841
Ce 2.473 0.000 3.841
Se 1.209 2.189 2.252
Se -0.055 0.000 5.430
Se 1.209 -2.189 2.252
Se 3.737 2.189 5.430
Se 5.001 0.000 2.252
Se 3.737 -2.189 5.430
```

The following is a DFT calculation (GGA-PBE) of a geometry-optimized K2TbCe2Se6 structure.

Values from the calculation:
- uncorrected formation energy (eV/atom) = -1.721
- energy (eV/atom) = -5.321

The structure in extended XYZ format:
```
11
Lattice="3.696 -6.389 0.000 3.696 6.389 0.000 -2.452 0.000 7.790" Properties=species:S:1:pos:R:3 pbc="T T T"
K 3.696 4.255 0.000
K 3.696 -4.255 0.000
Tb -1.226 0.000 3.895
Ce 2.470 2.120 3.895
Ce 2.470 -2.120 3.895
Se -0.006 2.128 5.459
Se 1.205 0.000 2.325
Se -0.006 -2.128 5.459
Se 4.945 2.128 2.330
Se 3.735 0.000 5.464
Se 4.945 -2.128 2.330
```

The following is a DFT calculation (GGA-PBE) of a geometry-optimized KCeTeSe structure.

Values from the calculation:
- uncorrected formation energy (eV/atom) = -1.509
- energy (eV/atom) = -4.923

The structure in extended XYZ format:
```
4
Lattice="2.253 1.301 7.967 -2.253 1.301 7.967 0.000 -2.602 7.967" Properties=species:S:1:pos:R:3 pbc="T T T"
K 0.000 0.000 0.000
Ce 0.000 0.000 11.707
Te 0.000 0.000 5.595
Se 0.000 0.000 18.156
```

The following is a DFT calculation (GGA-PBE) of a geometry-optimized K2CeTeSe4 structure.

Values from the calculation:
- uncorrected formation energy (eV/atom) = -1.066
- energy (eV/atom) = -4.217

The structure in extended XYZ format:
```
16
Lattice="6.120 -6.057 0.000 6.120 6.057 0.000 -5.151 0.000 7.127" Properties=species:S:1:pos:R:3 pbc="T T T"
K 0.000 0.000 0.000
K -2.575 0.000 3.564
K 3.060 3.028 0.000
K 0.485 -3.028 3.564
Ce 6.120 0.000 0.000
Ce 3.545 0.000 3.564
Te 0.485 3.028 3.564
Te 3.060 -3.028 0.000
Se 3.262 2.824 3.246
Se 0.660 0.239 4.150
Se 6.403 2.824 0.318
Se 3.235 -0.239 0.586
Se 3.855 0.239 6.541
Se 0.687 -2.824 6.810
Se 6.430 -0.239 2.977
Se 3.828 -2.824 3.881
```

The following is a DFT calculation (GGA-PBE) of a geometry-optimized K4Ce3ThSe8 structure.

Values from the calculation:
- uncorrected formation energy (eV/atom) = -1.658
- energy (eV/atom) = -5.251

The structure in extended XYZ format:
```
16
Lattice="4.355 2.514 7.709 -4.355 2.514 7.709 0.000 -5.029 7.709" Properties=species:S:1:pos:R:3 pbc="T T T"
K 0.000 0.000 0.000
K -2.178 -1.257 7.709
K -2.178 1.257 15.418
K 0.000 2.514 7.709
Ce -4.355 0.000 11.564
Ce -2.178 1.257 3.855
Ce 2.178 1.257 3.855
Th 0.000 0.000 11.564
Se 0.000 0.000 5.489
Se -2.136 -1.233 13.196
Se 0.000 -2.466 9.932
Se -2.136 1.233 9.932
Se 2.136 -1.233 13.196
Se 0.000 2.466 13.196
Se 2.136 1.233 9.932
Se 0.000 0.000 17.639
```

The following is a DFT calculation (GGA-PBE) of a geometry-optimized K4CeTh3Se8 structure.

Values from the calculation:
- uncorrected formation energy (eV/atom) = -1.579
- energy (eV/atom) = -5.357

The structure in extended XYZ format:
```
16
Lattice="4.271 2.466 7.827 -4.271 2.466 7.827 0.000 -4.931 7.827" Properties=species:S:1:pos:R:3 pbc="T T T"
K 0.000 0.000 0.000
K -2.135 -1.233 7.827
K -2.135 1.233 15.654
K 0.000 2.466 7.827
Ce 0.000 0.000 11.740
Th -4.271 0.000 11.740
Th -2.135 1.233 3.913
Th 2.135 1.233 3.913
Se -2.159 -1.246 13.431
Se 0.000 0.000 5.607
Se 0.000 -2.493 10.050
Se -2.159 1.246 10.050
Se 2.159 -1.246 13.431
Se 0.000 2.493 13.431
Se 0.000 0.000 17.873
Se 2.159 1.246 10.050
```

The following is a DFT calculation (GGA-PBE) of a geometry-optimized KCeThSe4 structure.

Values from the calculation:
- uncorrected formation energy (eV/atom) = -1.668
- energy (eV/atom) = -5.724

The structure in extended XYZ format:
```
14
Lattice="-4.470 4.505 6.344 4.470 -4.505 6.344 4.470 4.505 -6.344" Properties=species:S:1:pos:R:3 pbc="T T T"
K 0.000 2.252 1.553
K 4.470 2.252 4.791
Ce 4.470 0.000 0.000
Ce 0.000 0.000 6.344
Th 2.235 2.252 -3.172
Th 2.235 -2.252 3.172
Se 4.470 -0.341 3.006
Se 4.470 4.164 -3.006
Se 2.527 2.252 -0.278
Se 6.413 2.252 -0.278
Se -1.943 2.252 6.622
Se 1.943 2.252 6.622
Se 0.000 0.341 9.350
Se 0.000 4.846 3.338
```

The following is a DFT calculation (GGA-PBE) of a geometry-optimized K3CeTh2Se6 structure.

Values from the calculation:
- uncorrected formation energy (eV/atom) = -1.592
- energy (eV/atom) = -5.340

The structure in extended XYZ format:
```
12
Lattice="3.712 -6.430 0.000 3.712 6.430 0.000 -2.474 0.000 7.808" Properties=species:S:1:pos:R:3 pbc="T T T"
K 0.000 0.000 0.000
K 3.712 2.130 0.000
K 3.712 -2.130 0.000
Ce 2.475 0.000 3.904
Th 2.475 4.286 3.904
Th 2.475 -4.286 3.904
Se 1.218 2.176 2.222
Se -0.037 0.000 5.586
Se 1.218 -2.176 2.222
Se 3.732 2.176 5.586
Se 4.988 0.000 2.223
Se 3.732 -2.176 5.586
```

The following is a DFT calculation (GGA-PBE) of a geometry-optimized K3Ce2ThSe6 structure.

Values from the calculation:
- uncorrected formation energy (eV/atom) = -1.647
- energy (eV/atom) = -5.271

The structure in extended XYZ format:
```
12
Lattice="3.763 -6.517 0.000 3.763 6.517 0.000 -2.509 0.000 7.727" Properties=species:S:1:pos:R:3 pbc="T T T"
K 0.000 0.000 0.000
K 3.763 2.188 0.000
K 3.763 -2.188 0.000
Ce 2.508 4.346 3.864
Ce 2.508 -4.346 3.864
Th 2.508 0.000 3.864
Se 1.278 2.131 2.221
Se 0.049 0.000 5.506
Se 1.278 -2.131 2.221
Se 3.738 2.131 5.506
Se 4.968 0.000 2.221
Se 3.738 -2.131 5.506
```

The following is a DFT calculation (GGA-PBE) of a geometry-optimized K2CeThSe4 structure.

Values from the calculation:
- uncorrected formation energy (eV/atom) = -1.618
- energy (eV/atom) = -5.304

The structure in extended XYZ format:
```
8
Lattice="7.478 0.000 0.000 0.000 4.313 0.000 -2.481 0.000 7.763" Properties=species:S:1:pos:R:3 pbc="T T T"
K 0.000 0.000 0.000
K 3.739 2.156 0.000
Ce -1.241 2.156 3.882
Th 2.498 0.000 3.882
Se 0.049 0.000 5.542
Se 1.285 2.156 2.221
Se 3.711 2.156 5.542
Se 4.947 0.000 2.222
```

The following is a DFT calculation (GGA-PBE) of a geometry-optimized KCe2ThSe4 structure.

Values from the calculation:
- uncorrected formation energy (eV/atom) = -1.621
- energy (eV/atom) = -5.912

The structure in extended XYZ format:
```
8
Lattice="7.414 0.000 0.000 0.000 4.222 0.000 -2.407 0.000 7.099" Properties=species:S:1:pos:R:3 pbc="T T T"
K 0.000 0.000 0.000
Ce 2.504 0.000 3.549
Ce 3.707 2.111 0.000
Th -1.203 2.111 3.549
Se 0.076 0.000 5.290
Se 1.293 2.111 1.879
Se 3.715 2.111 5.220
Se 4.931 0.000 1.809
```

The following is a DFT calculation (GGA-PBE) of a geometry-optimized K3Ce3ThSe8 structure.

Values from the calculation:
- uncorrected formation energy (eV/atom) = -1.701
- energy (eV/atom) = -5.460

The structure in extended XYZ format:
```
15
Lattice="4.361 2.518 7.760 -4.361 2.518 7.760 0.000 -5.035 7.760" Properties=species:S:1:pos:R:3 pbc="T T T"
K -2.180 -1.259 7.760
K -2.180 1.259 15.520
K 0.000 2.518 7.760
Ce -4.361 0.000 11.640
Ce -2.180 1.259 3.880
Ce 2.180 1.259 3.880
Th 0.000 0.000 11.640
Se 0.000 0.000 5.495
Se -2.140 -1.235 13.222
Se 0.000 -2.471 10.059
Se -2.140 1.235 10.059
Se 2.140 -1.235 13.222
Se 0.000 2.471 13.222
Se 2.140 1.235 10.059
Se 0.000 0.000 17.786
```

The following is a DFT calculation (GGA-PBE) of a geometry-optimized K2Ce2TiSe6 structure.

Values from the calculation:
- uncorrected formation energy (eV/atom) = -1.499
- energy (eV/atom) = -5.396

The structure in extended XYZ format:
```
11
Lattice="3.589 -6.124 0.000 3.589 6.124 0.000 -2.448 0.000 7.839" Properties=species:S:1:pos:R:3 pbc="T T T"
K 3.589 4.020 0.000
K 3.589 -4.020 0.000
Ce 2.365 2.041 3.919
Ce 2.365 -2.041 3.919
Ti -1.224 0.000 3.919
Se -0.112 1.879 5.468
Se 0.945 0.000 2.385
Se -0.112 -1.879 5.468
Se 4.842 1.879 2.370
Se 3.784 0.000 5.454
Se 4.842 -1.879 2.370
```

The following is a DFT calculation (GGA-PBE) of a geometry-optimized K3Ce3TiSe8 structure.

Values from the calculation:
- uncorrected formation energy (eV/atom) = -1.546
- energy (eV/atom) = -5.337

The structure in extended XYZ format:
```
15
Lattice="7.302 -4.204 0.000 7.302 4.204 0.000 -4.895 0.000 7.813" Properties=species:S:1:pos:R:3 pbc="T T T"
K 0.000 0.000 0.000
K 3.651 2.102 0.000
K 3.651 -2.102 0.000
Ce 1.204 2.102 3.906
Ce 1.204 -2.102 3.906
Ce 4.855 0.000 3.906
Ti -2.448 0.000 3.906
Se -0.228 0.000 5.406
Se 3.727 2.272 5.410
Se 5.982 2.272 2.402
Se 2.423 0.000 2.246
Se 7.286 0.000 5.566
Se 3.727 -2.272 5.410
Se 5.982 -2.272 2.402
Se 9.937 0.000 2.407
```

The following is a DFT calculation (GGA-PBE) of a geometry-optimized K4Ce3TlSe8 structure.

Values from the calculation:
- uncorrected formation energy (eV/atom) = -1.472
- energy (eV/atom) = -4.749

The structure in extended XYZ format:
```
16
Lattice="4.428 2.557 7.547 -4.428 2.557 7.547 0.000 -5.113 7.547" Properties=species:S:1:pos:R:3 pbc="T T T"
K 0.000 0.000 0.000
K -2.214 -1.278 7.547
K -2.214 1.278 15.093
K 0.000 2.557 7.547
Ce -4.428 0.000 11.320
Ce -2.214 1.278 3.773
Ce 2.214 1.278 3.773
Tl 0.000 0.000 11.320
Se -2.395 -1.383 12.865
Se 0.000 0.000 5.344
Se 0.000 -2.766 9.775
Se -2.395 1.383 9.775
Se 2.395 -1.383 12.865
Se 0.000 2.766 12.865
Se 0.000 0.000 17.296
Se 2.395 1.383 9.775
```